## LiAc2PmTe5 (PBE)

Data for a relaxed LiAc2PmTe5 crystal.

Results
Magnetic moment, μB/f.u.: 0.00
Mass density, g cm⁻³: 6.809
Formation energy without anion corrections, eV per formula unit: -13.07

Unit cell a=4.6105 b=19.3876 c=13.5762 alpha=90.00 beta=90.00 gamma=90.00
With the nearest neighbours (Å) after each atom.
Space group Cmc2_1 (No. 36)
Symmetry-distinct sites (fractional):
Li (0.0000, 0.0566, 0.0000)  4 Te 2.70-3.00
Ac (0.0000, 0.3752, 0.8420)  8 Te 3.35-3.66
Ac (0.0000, 0.3927, 0.2221)  8 Te 3.38-3.57
Pm (0.0000, 0.3020, 0.5458)  6 Te 3.02-3.17
Te (0.0000, 0.0008, 0.3186)  1 Li 2.70
Te (0.0000, 0.1385, 0.5368)  1 Pm 3.17, 4 Ac 3.47-3.52
Te (0.0000, 0.1891, 0.8856)  1 Li 3.00, 2 Pm 3.17
Te (0.0000, 0.2144, 0.2042)  2 Pm 3.17, 3 Ac 3.44-3.47
Te (0.0000, 0.4526, 0.6026)  2 Li 2.70, 1 Pm 3.02

***

## Ga2BBr (PBE)

Data for a relaxed Ga2BBr crystal.

Results
ΔE to the lowest computed polymorph, kJ/mol of atoms: 0.0
Magnetic moment, μB/f.u.: 0.00
Mass density, g cm⁻³: 4.520
Formation energy without anion corrections, eV per formula unit: -0.36

Unit cell a=5.6939 b=5.6939 c=10.4316 alpha=90.00 beta=90.00 gamma=90.00
With the nearest neighbours (Å) after each atom.
Space group I-42d (No. 122)
Symmetry-distinct sites (fractional):
Ga (0.1182, 0.2500, 0.1250)  2 B 2.04
B (0.0000, 0.0000, 0.0000)  4 Ga 2.04
Br (0.0000, 0.0000, 0.5000)  4 Ga 2.91

***

## Pr6TlHg6 (PBE)

Data for a relaxed Pr6TlHg6 crystal.

Results
E_form, meV per atom: -302
Magnetic moment, μB/f.u.: 1.50
Mass density, g cm⁻³: 9.590

Unit cell a=6.4285 b=6.4285 c=10.9039 alpha=90.00 beta=90.00 gamma=120.00
With the nearest neighbours (Å) after each atom.
Space group P6/mmm (No. 191)
Symmetry-distinct sites (fractional):
Pr (0.0000, 0.0000, 0.1845)  6 Hg 3.30, 1 Tl 3.44
Pr (0.3333, 0.6667, 0.0000)  6 Hg 3.32, 3 Pr 3.71
Pr (0.3333, 0.6667, 0.5000)  6 Hg 3.28
Tl (0.0000, 0.0000, 0.5000)  8 Pr 3.44-3.71
Hg (0.0000, 0.5000, 0.2520)  4 Hg 3.21, 6 Pr 3.28-3.32

***

## SrPb2Br (PBE)

Data for a relaxed SrPb2Br crystal.

Results
ΔE to the lowest computed polymorph, kJ/mol of atoms: 10.2
Magnetic moment, μB/f.u.: 0.00
Mass density, g cm⁻³: 7.114
Formation energy without anion corrections, eV per formula unit: -2.64

Unit cell a=4.4814 b=4.4814 c=13.5267 alpha=90.00 beta=90.00 gamma=90.00
With the nearest neighbours (Å) after each atom.
Space group I4/mmm (No. 139)
Symmetry-distinct sites (fractional):
Sr (0.0000, 0.0000, 0.0000)  4 Br 3.17
Pb (0.0000, 0.5000, 0.2500)  4 Pb 3.17
Br (0.0000, 0.0000, 0.5000)  4 Sr 3.17

***

## Ca3Tl2Zn2Au4 (PBE)

Data for a relaxed Ca3Tl2Zn2Au4 crystal.

Results
E_form, meV per atom: -484
Magnetic moment, μB/f.u.: 0.00
Mass density, g cm⁻³: 8.922

Unit cell a=4.6418 b=4.6418 c=14.4397 alpha=90.00 beta=90.00 gamma=120.00
With the nearest neighbours (Å) after each atom.
Space group P-3m1 (No. 164)
Symmetry-distinct sites (fractional):
Ca (0.0000, 0.0000, 0.0000)  6 Au 3.23, 6 Zn 3.34
Ca (0.0000, 0.0000, 0.2533)  6 Au 3.01-3.26, 3 Zn 3.16
Tl (0.3333, 0.6667, 0.5703)  4 Au 2.93-3.21
Zn (0.3333, 0.6667, 0.1375)  3 Au 2.69
Au (0.3333, 0.6667, 0.3477)  4 Tl 2.93-3.21, 3 Ca 3.01, 1 Zn 3.04
Au (0.3333, 0.6667, 0.8750)  3 Zn 2.69

***

## KCd2Pb (PBE)

Data for a relaxed KCd2Pb crystal.

Results
E_form, meV per atom: -24
ΔE to the lowest computed polymorph, kJ/mol of atoms: 7.6
Magnetic moment, μB/f.u.: 0.00
Mass density, g cm⁻³: 6.313

Unit cell a=3.4656 b=5.5029 c=6.4978 alpha=90.00 beta=90.08 gamma=90.00
With the nearest neighbours (Å) after each atom.
Space group P2/m (No. 10)
Symmetry-distinct sites (fractional):
K (0.0000, 0.0000, 0.0000)  2 K 3.47, 8 Cd 3.65, 4 Pb 3.68
Cd (0.4974, 0.5000, 0.7454)  2 Pb 3.18, 4 Cd 3.19-3.47
Pb (0.5000, 0.0000, 0.5000)  4 Cd 3.18, 2 Pb 3.47

***

## ScGeSe3 (PBE)

Data for a relaxed ScGeSe3 crystal.

Results
ΔE to the lowest computed polymorph, kJ/mol of atoms: 57.0
Magnetic moment, μB/f.u.: 0.00
Mass density, g cm⁻³: 4.362
Formation energy without anion corrections, eV per formula unit: -1.58

Unit cell a=5.1294 b=5.1294 c=5.1294 alpha=90.00 beta=90.00 gamma=90.00
With the nearest neighbours (Å) after each atom.
Space group Pm-3m (No. 221)
Symmetry-distinct sites (fractional):
Sc (0.0000, 0.0000, 0.0000)  6 Se 2.56
Ge (0.5000, 0.5000, 0.5000)  12 Se 3.63
Se (0.0000, 0.0000, 0.5000)  2 Sc 2.56

***

## LiY5Hg4 (PBE)

Data for a relaxed LiY5Hg4 crystal.

Results
E_form, meV per atom: -391
Magnetic moment, μB/f.u.: 0.02
Mass density, g cm⁻³: 8.053

Unit cell a=3.7376 b=3.7376 c=18.5080 alpha=90.00 beta=90.00 gamma=90.00
With the nearest neighbours (Å) after each atom.
Space group P4/mmm (No. 123)
Symmetry-distinct sites (fractional):
Li (0.0000, 0.0000, 0.0000)  8 Y 3.23
Y (0.5000, 0.5000, 0.1005)  4 Hg 3.18, 4 Li 3.23
Y (0.5000, 0.5000, 0.2993)  8 Hg 3.22-3.26
Y (0.5000, 0.5000, 0.5000)  8 Hg 3.24
Hg (0.0000, 0.0000, 0.1958)  8 Y 3.18-3.26
Hg (0.0000, 0.0000, 0.3991)  8 Y 3.22-3.24

***

## SrIn2Hg4 (PBE)

Data for a relaxed SrIn2Hg4 crystal.

Results
E_form, meV per atom: -184
ΔE to the lowest computed polymorph, kJ/mol of atoms: 4.4
Magnetic moment, μB/f.u.: 0.00
Mass density, g cm⁻³: 9.227

Unit cell a=5.5880 b=14.2115 c=5.0745 alpha=90.00 beta=90.00 gamma=90.00
With the nearest neighbours (Å) after each atom.
Space group Cmmm (No. 65)
Symmetry-distinct sites (fractional):
Sr (0.0000, 0.0000, 0.0000)  4 Hg 3.45
In (0.0000, 0.3997, 0.5000)  1 In 2.85, 4 Hg 2.92-2.94
Hg (0.0000, 0.1647, 0.5000)  2 In 2.94, 2 Hg 3.17
Hg (0.0000, 0.2981, 0.0000)  2 In 2.92, 4 Hg 3.11-3.17

***

## SmPaGa (PBE)

Data for a relaxed SmPaGa crystal.

Results
E_form, meV per atom: -96
ΔE to the lowest computed polymorph, kJ/mol of atoms: 0.0
Magnetic moment, μB/f.u.: 0.00
Mass density, g cm⁻³: 10.024

Unit cell a=3.2636 b=3.2636 c=14.0325 alpha=90.00 beta=90.00 gamma=90.00
With the nearest neighbours (Å) after each atom.
Space group I4mm (No. 107)
Symmetry-distinct sites (fractional):
Sm (0.0000, 0.0000, 0.0000)  4 Ga 3.18, 4 Sm 3.26
Pa (0.0000, 0.0000, 0.3023)  4 Ga 3.09, 4 Pa 3.26
Ga (0.0000, 0.0000, 0.6554)  4 Pa 3.09, 4 Sm 3.18, 4 Ga 3.26

***

## ErHfAs2 (PBE)

Data for a relaxed ErHfAs2 crystal.

Results
E_form, meV per atom: -1158
ΔE to the lowest computed polymorph, kJ/mol of atoms: 8.7
Magnetic moment, μB/f.u.: 0.00
Mass density, g cm⁻³: 9.328

Unit cell a=3.8765 b=3.8765 c=20.3367 alpha=90.00 beta=90.00 gamma=120.00
With the nearest neighbours (Å) after each atom.
Space group R3m (No. 160, hexagonal axes)
Symmetry-distinct sites (fractional):
Er (0.0000, 0.0000, 0.0000)  6 As 2.84-2.93
Hf (0.0000, 0.0000, 0.8260)  6 As 2.69-2.78
As (0.0000, 0.0000, 0.2402)  3 Hf 2.78, 3 Er 2.93
As (0.0000, 0.0000, 0.4194)  3 Hf 2.69, 3 Er 2.84

***

## Ba6AgHg (PBE)

Data for a relaxed Ba6AgHg crystal.

Results
E_form, meV per atom: -153
Magnetic moment, μB/f.u.: 0.00
Mass density, g cm⁻³: 4.148

Unit cell a=8.1629 b=8.1629 c=23.5714 alpha=90.00 beta=90.00 gamma=120.00
With the nearest neighbours (Å) after each atom.
Space group R-3 (No. 148, hexagonal axes)
Symmetry-distinct sites (fractional):
Ba (0.0030, 0.6597, 0.4166)  1 Ag 3.34, 1 Hg 3.41
Ag (0.0000, 0.0000, 0.0000)  6 Ba 3.34
Hg (0.0000, 0.0000, 0.5000)  6 Ba 3.41

***

## CeBe2ZnAu5 (PBE)

Data for a relaxed CeBe2ZnAu5 crystal.

Results
E_form, meV per atom: -236
Magnetic moment, μB/f.u.: 0.93
Mass density, g cm⁻³: 12.523

Unit cell a=4.6946 b=4.6946 c=7.2701 alpha=90.00 beta=90.00 gamma=90.00
With the nearest neighbours (Å) after each atom.
Space group P4/mmm (No. 123)
Symmetry-distinct sites (fractional):
Ce (0.0000, 0.0000, 0.0000)  12 Au 3.17-3.32
Be (0.5000, 0.5000, 0.3317)  5 Au 2.36-2.41, 1 Be 2.45
Zn (0.0000, 0.0000, 0.5000)  8 Au 2.79
Au (0.0000, 0.5000, 0.2929)  2 Be 2.36
Au (0.5000, 0.5000, 0.0000)  2 Be 2.41

***

## GaRhW2Au (PBE)

Data for a relaxed GaRhW2Au crystal.

Results
E_form, meV per atom: 1685
Magnetic moment, μB/f.u.: 1.95
Mass density, g cm⁻³: 10.962

Unit cell a=4.7037 b=4.7037 c=5.0478 alpha=90.00 beta=90.00 gamma=90.00
With the nearest neighbours (Å) after each atom.
Space group P4/mmm (No. 123)
Symmetry-distinct sites (fractional):
Ga (0.0000, 0.0000, 0.0000)  4 Au 3.33, 8 W 3.45
Rh (0.5000, 0.5000, 0.5000)  4 W 2.35, 2 Au 2.52
W (0.0000, 0.5000, 0.5000)  2 Rh 2.35
Au (0.5000, 0.5000, 0.0000)  2 Rh 2.52

***

## SbH2Pt2 (PBE)

Data for a relaxed SbH2Pt2 crystal.

Results
ΔE to the lowest computed polymorph, kJ/mol of atoms: 28.9
Magnetic moment, μB/f.u.: 0.00
Mass density, g cm⁻³: 13.044

Unit cell a=6.6251 b=6.6251 c=2.9814 alpha=90.00 beta=90.00 gamma=90.00
With the nearest neighbours (Å) after each atom.
Space group P4/mbm (No. 127)
Symmetry-distinct sites (fractional):
Sb (0.0000, 0.0000, 0.0000)  8 Pt 2.91, 2 Sb 2.98, 4 H 2.99
H (0.0513, 0.4487, 0.0000)  1 H 0.96
Pt (0.1553, 0.6553, 0.5000)  4 H 2.14

***

## PmPrAgIr (PBE)

Data for a relaxed PmPrAgIr crystal.

Results
E_form, meV per atom: -436
Magnetic moment, μB/f.u.: 0.00
Mass density, g cm⁻³: 10.127

Unit cell a=7.2706 b=7.2706 c=7.2706 alpha=90.00 beta=90.00 gamma=90.00
With the nearest neighbours (Å) after each atom.
Space group F-43m (No. 216)
Symmetry-distinct sites (fractional):
Pm (0.0000, 0.0000, 0.0000)  4 Ag 3.15, 4 Ir 3.15
Pr (0.0000, 0.0000, 0.5000)  4 Ir 3.15, 4 Ag 3.15
Ag (0.2500, 0.2500, 0.2500)  4 Pr 3.15, 4 Pm 3.15
Ir (0.2500, 0.2500, 0.7500)  4 Pm 3.15, 4 Pr 3.15

***

## ZrScHg2 (PBE)

Data for a relaxed ZrScHg2 crystal.

Results
E_form, meV per atom: -87
ΔE to the lowest computed polymorph, kJ/mol of atoms: 18.8
Magnetic moment, μB/f.u.: 0.00
Mass density, g cm⁻³: 9.490

Unit cell a=3.3687 b=3.3687 c=28.7016 alpha=90.00 beta=90.00 gamma=120.00
With the nearest neighbours (Å) after each atom.
Space group R3m (No. 160, hexagonal axes)
Symmetry-distinct sites (fractional):
Zr (0.0000, 0.0000, 0.0000)  3 Hg 3.07, 3 Sc 3.12, 6 Zr 3.37
Sc (0.0000, 0.0000, 0.7518)  3 Hg 3.03, 3 Zr 3.12, 6 Sc 3.37
Hg (0.0000, 0.0000, 0.2505)  3 Zr 3.07, 9 Hg 3.11-3.37
Hg (0.0000, 0.0000, 0.4993)  3 Sc 3.03, 9 Hg 3.11-3.37

***

## AlCrHRh2 (PBE)

Data for a relaxed AlCrHRh2 crystal.

Results
ΔE to the lowest computed polymorph, kJ/mol of atoms: 0.0
Magnetic moment, μB/f.u.: 3.25
Mass density, g cm⁻³: 8.147

Unit cell a=3.9972 b=3.9972 c=3.6459 alpha=90.00 beta=90.00 gamma=90.00
With the nearest neighbours (Å) after each atom.
Space group P4/mmm (No. 123)
Symmetry-distinct sites (fractional):
Al (0.0000, 0.0000, 0.0000)  8 Rh 2.71, 4 Cr 2.83
Cr (0.5000, 0.5000, 0.0000)  2 H 1.82
H (0.5000, 0.5000, 0.5000)  2 Cr 1.82, 4 Rh 2.00
Rh (0.0000, 0.5000, 0.5000)  2 H 2.00

***

## K3Tb2YSe6 (PBE)

Data for a relaxed K3Tb2YSe6 crystal.

Results
Magnetic moment, μB/f.u.: 0.00
Mass density, g cm⁻³: 4.646
Formation energy without anion corrections, eV per formula unit: -21.23

Unit cell a=7.3196 b=12.6781 c=8.0633 alpha=90.00 beta=107.61 gamma=90.00
With the nearest neighbours (Å) after each atom.
Space group C2/m (No. 12)
Symmetry-distinct sites (fractional):
K (0.0000, 0.0000, 0.0000)  6 Se 3.32-3.33
K (0.0000, 0.3331, 0.0000)  6 Se 3.32-3.33
Tb (0.0000, 0.1666, 0.5000)  6 Se 2.91
Y (0.0000, 0.5000, 0.5000)  6 Se 2.90
Se (0.2349, 0.3337, 0.7058)  1 Y 2.90, 2 Tb 2.91
Se (0.2359, 0.0000, 0.7058)  1 Y 2.90, 2 Tb 2.91

***

## TlNiPdAu (PBE)

Data for a relaxed TlNiPdAu crystal.

Results
E_form, meV per atom: 30
Magnetic moment, μB/f.u.: 0.00
Mass density, g cm⁻³: 13.976

Unit cell a=6.4571 b=6.4571 c=6.4571 alpha=90.00 beta=90.00 gamma=90.00
With the nearest neighbours (Å) after each atom.
Space group F-43m (No. 216)
Symmetry-distinct sites (fractional):
Tl (0.0000, 0.0000, 0.0000)  4 Ni 2.80, 4 Pd 2.80
Ni (0.2500, 0.2500, 0.7500)  4 Au 2.80, 4 Tl 2.80
Pd (0.2500, 0.2500, 0.2500)  4 Tl 2.80, 4 Au 2.80
Au (0.0000, 0.0000, 0.5000)  4 Pd 2.80, 4 Ni 2.80